[1]
The following is a DFT calculation (GGA-PBE) of an optimized crystal structure of Rb2HoB2S6.

Calculated values
E_form (uncorrected)   -0.967 eV per atom

Unit cell a=11.6306 b=6.7159 c=8.4950 alpha=90.00 beta=117.25 gamma=90.00
Space group C2/m (No. 12)
Unique sites:
Rb1 0.2134 0.0000 0.1404 x4
Ho1 0.0000 0.0000 0.5000 x2
B1 0.0942 0.5000 0.2818 x4
S1 0.0113 0.2666 0.2666 x8
S2 0.2442 0.5000 0.2652 x4

[2]
The following is a DFT calculation (GGA-PBE) of an optimized crystal structure of HoReB.

Calculated values
Energy of formation   0.039 eV per atom

Unit cell a=6.6001 b=6.6001 c=3.6476 alpha=90.00 beta=90.00 gamma=120.00
Space group P-62m (No. 189)
Unique sites:
Ho1 0.0000 0.3999 0.0000 x3
Re1 0.0000 0.7522 0.5000 x3
B1 0.0000 0.0000 0.0000 x1
B2 0.3333 0.6667 0.5000 x2

[3]
The following is a DFT calculation (GGA-PBE) of an optimized crystal structure of HoRe3B3.

Calculated values
Energy of formation   -0.300 eV per atom

Unit cell a=8.1017 b=8.1017 c=3.0821 alpha=90.00 beta=90.00 gamma=120.00
Space group P6_3/m (No. 176)
Unique sites:
Ho1 0.3333 0.6667 0.2500 x2
Re1 0.0687 0.3067 0.7500 x6
B1 0.0401 0.5698 0.7500 x6